1) VASP calculation (PBE) on a geometry-optimized CoCSeBr2 structure.

Calculated values
Space-group type   P4/mmm
Total magnetization   0.00 μB/atom

a b c (Å): 4.890 4.890 4.498
angles (deg): 90.00 90.00 90.00
Positions (direct):
C  0.500  0.500  0.500
Co  0.000  0.000  0.000
Se  0.000  0.000  0.500
Br  0.000  0.500  0.000
Br  0.500  0.000  0.000

2) VASP calculation (PBE) on a geometry-optimized CoCSeBr2 structure.

Calculated values
Space-group type   P4/mmm
Total magnetization   0.56 μB/atom

a b c (Å): 4.767 4.767 4.322
angles (deg): 90.00 90.00 90.00
Site moments in Bohr magnetons follow the coordinates.
Positions (direct):
C  0.000  0.000  0.000  -0.01
Co  0.500  0.500  0.500  2.27
Se  0.000  0.000  0.500  0.19
Br  0.000  0.500  0.000  0.09
Br  0.500  0.000  0.000  0.09

Going by the computed energies, the most stable comes first: 2), 1).